1.
The following is a PBE calculation of a relaxed Cs10KNa6 crystal, from the Alexandria database.

Unit cell a=13.0403 b=13.0403 c=9.3371 alpha=90.00 beta=90.00 gamma=120.00
With the nearest neighbours (Å) after each atom.
Space group P-31m (No. 162)
Asymmetric unit:
Cs 0.0000 0.2881 0.2914 [6 per cell]  5 Na 4.48-4.85, 1 K 4.64
Cs 0.3333 0.6667 0.0000 [2 per cell]  6 Na 4.53, 2 Cs 4.67
Cs 0.3333 0.6667 0.5000 [2 per cell]  8 Cs 4.67-5.06, 6 Na 4.97
K 0.0000 0.0000 0.0000 [1 per cell]  6 Cs 4.64, 6 Na 5.20
Na 0.0000 0.3713 0.7982 [6 per cell]  9 Cs 4.48-4.97

Values from the calculation:
Its formation enthalpy at 0 K is 0.5 eV/f.u. As for the density: 1.82 g/cm³. The value obtained for the uncorrected energy is -1.00 eV/atom. The crystal system is trigonal.

***

2.
The following is a PBE calculation of a relaxed Cs2KNa2 crystal, from the Alexandria database.

Unit cell a=7.9781 b=23.3228 c=8.1396 alpha=90.00 beta=90.00 gamma=90.00
With the nearest neighbours (Å) after each atom.
Space group Cmcm (No. 63)
Asymmetric unit:
Cs 0.0000 0.0735 0.2500 [4 per cell]  6 Na 4.66-4.98, 4 K 4.79, 2 Cs 5.07
Cs 0.0000 0.2923 0.7500 [4 per cell]  2 Na 4.39
K 0.0000 0.5000 0.0000 [4 per cell]  2 K 4.07, 4 Na 4.08
Na 0.2429 0.1234 0.7500 [8 per cell]  2 Na 3.88-4.10, 2 K 4.08

Values from the calculation:
Its formation enthalpy at 0 K is 0.2 eV/f.u. The polymorph energy (0 for the lowest one) comes out at 0.024 eV per atom. As for the density: 1.54 g/cm³. The value obtained for the uncorrected energy is -1.04 eV/atom. The crystal system is orthorhombic.

***

3.
The following is a PBE calculation of a relaxed CsK6Na6 crystal, from the Alexandria database.

Unit cell a=7.7013 b=13.7293 c=14.0847 alpha=90.00 beta=90.00 gamma=90.00
With the nearest neighbours (Å) after each atom.
Space group Immm (No. 71)
Asymmetric unit:
Cs 0.0000 0.0000 0.0000 [2 per cell]  8 K 4.63-4.81, 4 Na 5.04
K 0.0000 0.0000 0.3416 [4 per cell]  6 Na 4.14-4.15, 1 K 4.46
K 0.0000 0.3125 0.5000 [4 per cell]  6 Na 4.10-4.15, 2 K 4.44
K 0.0000 0.3484 0.0000 [4 per cell]  3 K 4.16-4.44, 6 Na 4.23-4.32
Na 0.0000 0.5000 0.2689 [4 per cell]  4 Na 3.94, 6 K 4.15-4.32
Na 0.2500 0.2500 0.2500 [8 per cell]  4 Na 3.85-3.94, 6 K 4.10-4.23

Values from the calculation:
Its formation enthalpy at 0 K is 0.2 eV/f.u. As for the density: 1.13 g/cm³. The value obtained for the uncorrected energy is -1.17 eV/atom. The crystal system is orthorhombic.

***

4.
The following is a PBE calculation of a relaxed Cs2K2Na crystal, from the Alexandria database.

Unit cell a=6.3853 b=6.3853 c=22.4215 alpha=90.00 beta=90.00 gamma=90.00
With the nearest neighbours (Å) after each atom.
Space group I4/mmm (No. 139)
Asymmetric unit:
Cs 0.0000 0.5000 0.2500 [4 per cell]  4 Cs 4.52, 4 K 4.86
K 0.0000 0.0000 0.0866 [4 per cell]  1 K 3.88
Na 0.0000 0.0000 0.5000 [2 per cell]  8 K 4.91

Values from the calculation:
Its formation enthalpy at 0 K is 0.9 eV/f.u. The polymorph energy (0 for the lowest one) comes out at 0.164 eV per atom. As for the density: 1.33 g/cm³. The value obtained for the uncorrected energy is -0.87 eV/atom. The crystal system is tetragonal.

***

5.
The following is a PBE calculation of a relaxed Cs5K3Na crystal, from the Alexandria database.

Unit cell a=21.2276 b=16.3884 c=13.3540 alpha=90.00 beta=125.82 gamma=90.00
With the nearest neighbours (Å) after each atom.
Space group C2/m (No. 12)
Asymmetric unit:
Cs 0.0000 0.2309 0.0000 [4 per cell]  1 K 4.41
Cs 0.0402 0.0000 0.3410 [4 per cell]  2 Cs 4.89-5.43, 3 K 4.93-5.17
Cs 0.1480 0.2636 0.7461 [8 per cell]  1 Na 4.38, 3 K 4.58-4.88
Cs 0.1775 0.5000 0.4354 [4 per cell]  3 K 4.33-4.73, 1 Na 4.79
K 0.0000 0.5000 0.0000 [2 per cell]  2 Na 3.78
K 0.0000 0.5000 0.5000 [2 per cell]  2 Na 3.74
K 0.1797 0.0000 0.1006 [4 per cell]  1 Na 4.26, 1 K 4.58
K 0.2357 0.0000 0.8171 [4 per cell]  1 Na 3.78
Na 0.1005 0.5000 0.8417 [4 per cell]  3 K 3.74-3.78

Values from the calculation:
Its formation enthalpy at 0 K is 0.7 eV/f.u. As for the density: 1.42 g/cm³. The value obtained for the uncorrected energy is -0.91 eV/atom. The crystal system is monoclinic.

***

6.
The following is a PBE calculation of a relaxed CsK2Na9 crystal, from the Alexandria database.

Unit cell a=7.3906 b=7.3906 c=36.4906 alpha=90.00 beta=90.00 gamma=120.00
With the nearest neighbours (Å) after each atom.
Space group R-3m (No. 166, hexagonal axes)
Asymmetric unit:
Cs 0.0000 0.0000 0.0000 [3 per cell]  6 Na 4.27
K 0.0000 0.0000 0.1439 [6 per cell]  12 Na 4.30-4.41, 3 K 4.58
Na 0.0000 0.0000 0.3334 [6 per cell]  6 Na 3.72
Na 0.0000 0.0000 0.5000 [3 per cell]  6 Na 3.71
Na 0.0012 0.5006 0.9164 [18 per cell]  7 Na 3.68-3.72

Values from the calculation:
Its formation enthalpy at 0 K is 0.1 eV/f.u. As for the density: 1.21 g/cm³. The value obtained for the uncorrected energy is -1.24 eV/atom. The crystal system is trigonal.

***

7.
The following is a PBE calculation of a relaxed CsK5Na crystal, from the Alexandria database.

Unit cell a=6.2074 b=6.2074 c=14.2268 alpha=90.00 beta=90.00 gamma=90.00
With the nearest neighbours (Å) after each atom.
Space group P4/mmm (No. 123)
Asymmetric unit:
Cs 0.0000 0.0000 0.0000 [1 per cell]  8 K 5.02
K 0.0000 0.0000 0.5000 [1 per cell]  4 Na 4.39, 8 K 4.44
K 0.0000 0.5000 0.2772 [4 per cell]  6 K 4.39-4.44, 2 Na 4.44
Na 0.5000 0.5000 0.5000 [1 per cell]  12 K 4.39-4.44

Values from the calculation:
Its formation enthalpy at 0 K is 0.3 eV/f.u. The polymorph energy (0 for the lowest one) comes out at 0.000 eV per atom. As for the density: 1.06 g/cm³. The value obtained for the uncorrected energy is -1.05 eV/atom. The crystal system is tetragonal.

***

8.
The following is a PBE calculation of a relaxed CsK3Na3 crystal, from the Alexandria database.

Unit cell a=11.1740 b=6.7546 c=12.1542 alpha=90.00 beta=109.46 gamma=90.00
With the nearest neighbours (Å) after each atom.
Space group P2_1/m (No. 11)
Asymmetric unit:
Cs 0.1757 0.2500 0.3251 [2 per cell]  1 Na 4.51, 9 K 4.55-4.76
K 0.1181 0.7500 0.0622 [2 per cell]  4 Na 3.87-4.24, 2 K 4.24
K 0.1233 0.2500 0.6862 [2 per cell]  4 Na 4.03-4.33
K 0.3885 0.7500 0.5700 [2 per cell]  3 Na 3.93-4.25
Na 0.3332 0.2500 0.0282 [2 per cell]  3 Na 3.46-3.87
Na 0.3382 0.7500 0.8748 [2 per cell]  4 Na 3.46-3.87, 1 K 3.87
Na 0.4931 0.7500 0.2076 [2 per cell]  6 Na 3.83-4.15, 4 K 3.97-4.25

Values from the calculation:
Its formation enthalpy at 0 K is 0.3 eV/f.u. The polymorph energy (0 for the lowest one) comes out at 0.000 eV per atom. As for the density: 1.23 g/cm³. The value obtained for the uncorrected energy is -1.12 eV/atom. The crystal system is monoclinic.

***

Number 1: magnetization 0.000 μB/f.u.. Number 2: magnetization 0.000 μB/f.u.. Number 3: magnetization 0.000 μB/f.u.. Number 4: magnetization 0.015 μB/f.u.. Number 5: magnetization 0.000 μB/f.u.. Number 6: magnetization 0.000 μB/f.u.. Number 7: magnetization 0.000 μB/f.u.. Number 8: magnetization 0.000 μB/f.u..